No. 1
The following is a PBE calculation of a relaxed structure of NaInSb2P, from Alexandria.

Total magnetization, Bohr magnetons per cell: 0.0
Formation energy (no corrections), meV/atom: 823
Total energy, eV/atom: -2.720
Fermi-level density of states, states/eV per atom: 0.923
Space-group type: No. 123

Cell and atoms, written as extended XYZ:
```
5
Lattice="5.4485 0.0000 0.0000 0.0000 4.9549 0.0000 0.0000 0.0000 5.4485" Properties=species:S:1:pos:R:3 pbc="T T T"
Sb 0.0000 0.0000 2.7243
Sb 2.7243 0.0000 0.0000
In 2.7243 2.4774 2.7243
Na 0.0000 0.0000 0.0000
P 0.0000 2.4774 0.0000
```

No. 2
The following is a PBE calculation of a relaxed structure of NaInPSe4, from Alexandria.

Total magnetization, Bohr magnetons per cell: 0.0
Formation energy (no corrections), meV/atom: -313
Total energy, eV/atom: -3.656
Fermi-level density of states, states/eV per atom: 0.131
Space-group type: No. 74

Cell and atoms, written as extended XYZ:
```
14
Lattice="8.0132 0.0000 0.0000 4.0066 6.9432 0.0471 4.0066 2.1601 6.5988" Properties=species:S:1:pos:R:3 pbc="T T T"
In 0.0000 0.0000 0.0000
In 4.0066 4.5516 3.3229
Se 4.0066 2.2326 1.4224
Se 5.8854 5.7146 1.6611
Se 12.0198 6.8707 5.2235
Se 5.8854 3.3886 4.9848
Se 8.0132 2.5167 1.6298
Se 8.0132 6.5866 5.0161
Se 10.1411 3.3886 4.9848
Se 10.1411 5.7146 1.6611
Na 6.0099 1.0800 3.2994
Na 2.0033 1.0800 3.2994
P 8.0132 4.5366 5.8229
P 8.0132 4.5666 0.8230
```

- The lowest formation energy (no corrections) belongs to which entry?
  NaInPSe4

- Which of these has the lowest formation energy (no corrections)?
  NaInPSe4

- What is the total magnetization in the second record?
  0.0 Bohr magnetons per cell